Record 1
# GGA-PBE CsCaTcO4, optimized geometry
# M_tot: 2.00 μB/f.u.
# calculated volume: 289.8 Å³ per cell
# energy relative to the elements, uncorrected: -1.898 eV per atom
data_CsCaTcO4
_chemical_formula_sum 'Cs2 Ca2 Tc2 O8'
_cell_length_a 6.1727
_cell_length_b 6.1282
_cell_length_c 8.0013
_cell_angle_alpha 90.00
_cell_angle_beta 106.77
_cell_angle_gamma 90.00
_space_group_name_H-M_alt 'P 1 21/m 1'
_space_group_IT_number 11
loop_
_space_group_symop_operation_xyz
'x,y,z'
'-x,-y,-z'
'-x,y+1/2,-z'
'x,-y+1/2,z'
loop_
_atom_site_label
_atom_site_type_symbol
_atom_site_fract_x
_atom_site_fract_y
_atom_site_fract_z
Cs1 Cs 0.2246 0.2500 0.4401
Ca1 Ca 0.3178 0.2500 0.9618
Tc1 Tc 0.2193 0.7500 0.1466
O1 O 0.0175 0.7500 0.9307
O2 O 0.0489 0.7500 0.2992
O3 O 0.4399 0.5308 0.1659

Record 2
# GGA-PBE DyHoCu4, optimized geometry
# M_tot: 0.00 μB/f.u.
# energy of formation from the pure elements: -180 meV per atom
# calculated volume: 409.2 Å³ per cell
# D(E_F): 0.569 states/eV/atom
# excess energy over the best structure of this formula in the dataset: 98.7 meV per atom
data_DyHoCu4
_chemical_formula_sum 'Dy4 Ho4 Cu16'
_cell_length_a 7.4243
_cell_length_b 7.4243
_cell_length_c 7.4243
_cell_angle_alpha 90.00
_cell_angle_beta 90.00
_cell_angle_gamma 90.00
_space_group_name_H-M_alt 'F -4 3 m'
_space_group_IT_number 216
_space_group_name_Hall 'F -4 2 3'
loop_
_atom_site_label
_atom_site_type_symbol
_atom_site_fract_x
_atom_site_fract_y
_atom_site_fract_z
Dy1 Dy 0.0000 0.0000 0.0000
Ho1 Ho 0.2500 0.2500 0.7500
Cu1 Cu 0.1249 0.1249 0.3751

Record 3
# GGA-PBE Cd2In2GaPd4, optimized geometry
# M_tot: 0.00 μB/f.u.
# energy of formation from the pure elements: -187 meV per atom
# calculated volume: 348.8 Å³ per cell
# D(E_F): 0.349 states/eV/atom
data_Cd2In2GaPd4
_chemical_formula_sum 'Cd4 In4 Ga2 Pd8'
_cell_length_a 6.3603
_cell_length_b 6.3603
_cell_length_c 8.6215
_cell_angle_alpha 90.00
_cell_angle_beta 90.00
_cell_angle_gamma 90.00
_space_group_name_H-M_alt 'I 4/m m m'
_space_group_IT_number 139
_space_group_name_Hall '-I 4 2'
loop_
_atom_site_label
_atom_site_type_symbol
_atom_site_fract_x
_atom_site_fract_y
_atom_site_fract_z
Cd1 Cd 0.0000 0.0000 0.2048
In1 In 0.0000 0.5000 0.2500
Ga1 Ga 0.0000 0.0000 0.5000
Pd1 Pd 0.2345 0.2345 0.0000

Record 4
# GGA-PBE Na2TlRuCl8, optimized geometry
# M_tot: 1.00 μB/f.u.
# calculated volume: 316.5 Å³ per cell
# energy relative to the elements, uncorrected: -0.979 eV per atom
# D(E_F): 0.473 states/eV/atom
data_Na2TlRuCl8
_chemical_formula_sum 'Na2 Tl1 Ru1 Cl8'
_cell_length_a 6.1852
_cell_length_b 7.9514
_cell_length_c 6.4551
_cell_angle_alpha 90.00
_cell_angle_beta 94.45
_cell_angle_gamma 90.00
_space_group_name_H-M_alt 'P 1 2/m 1'
_space_group_IT_number 10
loop_
_space_group_symop_operation_xyz
'x,y,z'
'-x,-y,-z'
'-x,y,-z'
'x,-y,z'
loop_
_atom_site_label
_atom_site_type_symbol
_atom_site_fract_x
_atom_site_fract_y
_atom_site_fract_z
Na1 Na 0.0000 0.2389 0.0000
Tl1 Tl 0.5000 0.5000 0.5000
Ru1 Ru 0.5000 0.0000 0.5000
Cl1 Cl 0.2396 0.5000 0.1637
Cl2 Cl 0.2725 0.0000 0.1889
Cl3 Cl 0.2885 0.2164 0.6352

What is the calculated volume in the third record? 348.8 Å³ per cell

The lowest calculated volume belongs to which entry? CsCaTcO4

Which of these has the lowest calculated volume? CsCaTcO4